(1)
YGa2AsI (SCAN, single point on PBEsol structure); formation energy (no corrections) = 623.4 meV/atom; E_tot = -22.87 eV/atom; space group = No. 123
1.0
5.6467 0.0000 0.0000
0.0000 5.6467 0.0000
0.0000 0.0000 5.5843
Y Ga As I
1 2 1 1
direct
0.0000 0.0000 0.0000
0.0000 0.5000 0.0000
0.5000 0.0000 0.0000
0.5000 0.5000 0.5000
0.0000 0.0000 0.5000

(2)
Fe5Co (SCAN, single point on PBEsol structure); ΔE_f = -0.50 eV per formula unit; E_tot = -18.08 eV/atom; space group = No. 10
1.0
2.4217 0.0000 0.0000
0.0000 3.9516 0.0000
-0.0038 0.0000 6.8412
Fe Co
5 1
direct
0.0000 0.0000 0.0000
0.3302 0.5000 0.1676
0.3323 0.0000 0.6658
0.6677 0.0000 0.3342
0.6698 0.5000 0.8324
0.0000 0.5000 0.5000

(3)
SrNbS2 (SCAN, single point on PBEsol structure); formation energy (no corrections) = -885.9 meV/atom; E_tot = -19.55 eV/atom; space group = No. 166
1.0
3.5230 0.0000 0.0000
-1.7615 3.0510 0.0000
0.0000 0.0000 26.2189
Sr Nb S
3 3 6
direct
0.0000 0.0000 0.0000
0.3333 0.6667 0.6667
0.6667 0.3333 0.3333
0.0000 0.0000 0.5000
0.3333 0.6667 0.1667
0.6667 0.3333 0.8333
0.0000 0.0000 0.1099
0.0000 0.0000 0.8901
0.3333 0.6667 0.5567
0.3333 0.6667 0.7766
0.6667 0.3333 0.2234
0.6667 0.3333 0.4433

(4)
Ca2InGaW (SCAN, single point on PBEsol structure); ΔE_f = 5.38 eV per formula unit; E_tot = -26.67 eV/atom; space group = No. 123
1.0
5.6915 0.0000 0.0000
0.0000 5.6915 0.0000
0.0000 0.0000 5.0903
Ca In Ga W
2 1 1 1
direct
0.0000 0.5000 0.0000
0.5000 0.0000 0.0000
0.0000 0.0000 0.0000
0.5000 0.5000 0.5000
0.0000 0.0000 0.5000

Q: What is the E_tot in the fourth record?
A: -26.67 eV/atom

Q: Among the records above, which one has the highest E_tot?
A: Fe5Co

Q: E_tot of number 4 (Ca2InGaW)?
A: -26.67 eV/atom